(1)
Dy3TmSb3 | GGA-PBE | optimized geometry

Calculated values
ΔE to the lowest computed polymorph = 8.5 kJ per mole of atoms
Raw total energy = -5.26 eV/atom
Total moment = 0.000 μB/cell
Formation energy (no corrections) = -0.886 eV per atom

Cell lengths 8.9067, 8.9067, 8.0035 Å; angles 56.19, 56.19, 60.00 degrees
Last column: nearest neighbours and their distance in Å.
Atoms (fractional coordinates):
Dy 0.1765 0.6575 0.2533  5 Sb 3.05-3.27
Dy 0.9127 0.1765 0.2533  5 Sb 3.05-3.27
Dy 0.6575 0.9127 0.2533  5 Sb 3.05-3.27
Dy 0.3425 0.0873 0.7467  5 Sb 3.05-3.27
Dy 0.0873 0.8235 0.7467  5 Sb 3.05-3.27
Dy 0.8235 0.3425 0.7467  5 Sb 3.05-3.27
Tm 0.3336 0.3336 0.9991  6 Sb 3.11-3.16
Tm 0.6664 0.6664 0.0009  6 Sb 3.11-3.16
Sb 0.4726 0.6946 0.7552  5 Dy 3.05-3.27, 2 Tm 3.11-3.16
Sb 0.6946 0.0776 0.7552  5 Dy 3.05-3.27, 2 Tm 3.11-3.16
Sb 0.0776 0.4726 0.7552  5 Dy 3.05-3.27, 2 Tm 3.11-3.16
Sb 0.9224 0.5274 0.2448  5 Dy 3.05-3.27, 2 Tm 3.11-3.16
Sb 0.3054 0.9224 0.2448  5 Dy 3.05-3.27, 2 Tm 3.11-3.16
Sb 0.5274 0.3054 0.2448  5 Dy 3.05-3.27, 2 Tm 3.11-3.16



(2)
Dy2TmSb | GGA-PBE | optimized geometry

Calculated values
ΔE to the lowest computed polymorph = 7.3 kJ per mole of atoms
Raw total energy = -4.91 eV/atom
Total moment = 0.000 μB/cell
Formation energy (no corrections) = -0.463 eV per atom

Cell lengths 4.7694, 4.7538, 4.7538 Å; angles 90.00, 90.00, 90.00 degrees
Last column: nearest neighbours and their distance in Å.
Atoms (fractional coordinates):
Sb 0.5000 0.0000 0.0000  4 Tm 3.36, 8 Dy 3.37
Tm 0.5000 0.5000 0.5000  4 Sb 3.36, 8 Dy 3.37
Dy 0.0000 0.0000 0.5000  4 Dy 3.36, 4 Sb 3.37, 4 Tm 3.37
Dy 0.0000 0.5000 0.0000  4 Dy 3.36, 4 Sb 3.37, 4 Tm 3.37



(3)
Dy5Tm5Sb6 | GGA-PBE | optimized geometry

Calculated values
Raw total energy = -5.27 eV/atom
Total moment = 0.002 μB/cell
Formation energy (no corrections) = -0.885 eV per atom

Cell lengths 6.2607, 8.9314, 8.9314 Å; angles 120.16, 90.00, 90.00 degrees
Last column: nearest neighbours and their distance in Å.
Atoms (fractional coordinates):
Dy 0.7500 0.3334 0.6659  2 Dy 3.13, 6 Sb 3.17-3.18
Dy 0.7500 0.6659 0.3334  2 Dy 3.13, 6 Sb 3.17-3.18
Dy 0.2500 0.6659 0.3334  2 Dy 3.13, 6 Sb 3.17-3.18
Dy 0.2500 0.3334 0.6659  2 Dy 3.13, 6 Sb 3.17-3.18
Dy 0.0000 0.2452 0.2452  5 Sb 3.05-3.38
Tm 0.0000 0.7539 0.0003  5 Sb 3.03-3.38
Tm 0.0000 0.0003 0.7539  5 Sb 3.03-3.38
Tm 0.5000 0.7559 0.7559  5 Sb 3.04-3.38
Tm 0.5000 0.2464 0.9996  5 Sb 3.03-3.38
Tm 0.5000 0.9996 0.2464  5 Sb 3.03-3.38
Sb 0.0000 0.6135 0.6135  4 Tm 3.03-3.38, 5 Dy 3.18-3.28
Sb 0.0000 0.3882 0.9985  4 Tm 3.03-3.38, 5 Dy 3.05-3.18
Sb 0.0000 0.9985 0.3882  4 Tm 3.03-3.38, 5 Dy 3.05-3.18
Sb 0.5000 0.3877 0.3877  3 Tm 3.03-3.28, 6 Dy 3.17-3.38
Sb 0.5000 0.6122 0.0000  5 Tm 3.03-3.38, 4 Dy 3.18
Sb 0.5000 0.0000 0.6122  5 Tm 3.03-3.38, 4 Dy 3.18



(4)
DyTmSb | GGA-PBE | optimized geometry

Calculated values
Raw total energy = -4.81 eV/atom
Total moment = 0.000 μB/cell
Formation energy (no corrections) = -0.409 eV per atom

Cell lengths 3.9612, 5.0197, 5.0197 Å; angles 120.00, 90.00, 90.00 degrees
Last column: nearest neighbours and their distance in Å.
Atoms (fractional coordinates):
Sb 0.2993 0.3333 0.6667  3 Tm 3.02, 3 Dy 3.16
Tm 0.0851 0.0000 0.0000  3 Sb 3.02
Dy 0.6156 0.6667 0.3333  3 Sb 3.16, 3 Tm 3.44



(5)
DyTmSb | GGA-PBE | optimized geometry

Calculated values
Raw total energy = -5.17 eV/atom
Total moment = 0.000 μB/cell
Formation energy (no corrections) = -0.772 eV per atom

Cell lengths 4.4499, 4.4490, 8.3906 Å; angles 90.00, 90.00, 90.00 degrees
Last column: nearest neighbours and their distance in Å.
Atoms (fractional coordinates):
Dy 0.9263 0.0000 0.7853  4 Tm 3.15, 4 Sb 3.24-3.25
Dy 0.9262 0.5000 0.1360  5 Sb 3.10-3.20
Sb 0.4262 0.0000 0.0680  3 Tm 3.10-3.25, 6 Dy 3.20-3.25
Sb 0.9262 0.5000 0.5049  3 Dy 3.10-3.24, 6 Tm 3.20-3.24
Tm 0.4262 0.0000 0.4380  5 Sb 3.10-3.20
Tm 0.4263 0.5000 0.7851  4 Dy 3.15, 4 Sb 3.24-3.25



(6)
DyTm3Sb4 | GGA-PBE | optimized geometry

Calculated values
Raw total energy = -5.40 eV/atom
Total moment = 0.000 μB/cell
Formation energy (no corrections) = -1.088 eV per atom

Cell lengths 6.1451, 6.1451, 6.1451 Å; angles 90.00, 90.00, 90.00 degrees
Last column: nearest neighbours and their distance in Å.
Atoms (fractional coordinates):
Dy 0.0000 0.0000 0.0000  6 Sb 3.07
Tm 0.0000 0.5000 0.5000  6 Sb 3.07
Tm 0.5000 0.0000 0.5000  6 Sb 3.07
Tm 0.5000 0.5000 0.0000  6 Sb 3.07
Sb 0.5000 0.0000 0.0000  4 Tm 3.07, 2 Dy 3.07
Sb 0.0000 0.5000 0.0000  4 Tm 3.07, 2 Dy 3.07
Sb 0.0000 0.0000 0.5000  4 Tm 3.07, 2 Dy 3.07
Sb 0.5000 0.5000 0.5000  6 Tm 3.07